Below is a geometry-optimized CdB3Ru structure, with properties calculated at the PBE level.

The space group is Pm-3m (No. 221) and the conventional cell measures 4.199, 4.199 and 4.199 Å, with angles of 90.00, 90.00 and 90.00 degrees. The distinct sites, in fractional coordinates, are Cd at (0.000, 0.000, 0.000), B at (0.000, 0.000, 0.500) and Ru at (0.500, 0.500, 0.500).

For the energy of formation, the calculation gives 261 kJ per mole of atoms. As for the final energy: -3.34 eV per atom.